No. 1
A plane-wave DFT calculation with PBE was carried out for a geometry-optimized GaMoBr2 structure.

Output
Formation energy without anion corrections ... 0.55 eV/f.u.
Energy ... -4.1633 eV per atom
ΔE to the lowest computed polymorph ... 0 meV/atom

abc: 10.143 10.143 10.143
angles: 18.80 18.80 18.80
Atoms (fractional coordinates):
Br  0.106  0.106  0.106
Br  0.894  0.894  0.894
Mo  0.500  0.500  0.500
Ga  0.000  0.000  0.000


No. 2
A plane-wave DFT calculation with PBE was carried out for a geometry-optimized BaTlAgBr4 structure.

Output
Formation energy without anion corrections ... -8.80 eV/f.u.
Energy ... -3.2328 eV per atom

abc: 7.635 7.588 9.244
angles: 90.00 108.16 90.00
Atoms (fractional coordinates):
Tl  0.250  0.250  0.056
Tl  0.750  0.750  0.944
Br  0.555  0.250  0.398
Br  0.443  0.750  0.118
Br  0.983  0.490  0.264
Br  0.017  0.510  0.736
Br  0.445  0.750  0.602
Br  0.983  0.010  0.264
Br  0.017  0.990  0.736
Br  0.557  0.250  0.882
Ba  0.769  0.750  0.442
Ba  0.231  0.250  0.558
Ag  0.238  0.750  0.303
Ag  0.762  0.250  0.697


No. 3
A plane-wave DFT calculation with PBE was carried out for a geometry-optimized Tc2RuBr structure.

Output
Formation energy without anion corrections ... 2.07 eV/f.u.
Energy ... -7.4032 eV per atom
ΔE to the lowest computed polymorph ... 0 meV/atom

abc: 8.825 8.825 8.825
angles: 18.79 18.79 18.79
Atoms (fractional coordinates):
Tc  0.251  0.251  0.251
Tc  0.000  0.000  0.000
Ru  0.746  0.746  0.746
Br  0.502  0.502  0.502


No. 4
A plane-wave DFT calculation with PBE was carried out for a geometry-optimized NdMg2Sc structure.

Output
DFT formation energy ... 0.06 eV per atom
Energy ... -3.5137 eV per atom

abc: 3.341 3.341 11.286
angles: 81.49 81.49 60.00
Atoms (fractional coordinates):
Sc  0.668  0.668  0.997
Mg  0.255  0.255  0.234
Mg  0.078  0.078  0.765
Nd  0.499  0.499  0.503


No. 5
A plane-wave DFT calculation with PBE was carried out for a geometry-optimized Cd3FeB structure.

Output
DFT formation energy ... 1.42 eV per atom
Energy ... -2.1522 eV per atom
ΔE to the lowest computed polymorph ... 553 meV/atom

abc: 5.013 5.013 5.013
angles: 90.00 90.00 90.00
Atoms (fractional coordinates):
Cd  0.000  0.500  0.000
Cd  0.000  0.000  0.500
Cd  0.500  0.000  0.000
B  0.500  0.500  0.500
Fe  0.000  0.000  0.000


No. 6
A plane-wave DFT calculation with PBE was carried out for a geometry-optimized TbHo3Pt12 structure.

Output
DFT formation energy ... -1.04 eV per atom
Energy ... -6.7217 eV per atom

abc: 4.121 4.121 16.415
angles: 90.00 90.00 90.00
Atoms (fractional coordinates):
Ho  0.000  0.000  0.749
Ho  0.000  0.000  0.500
Ho  0.000  0.000  0.251
Pt  0.500  0.000  0.375
Pt  0.500  0.000  0.126
Pt  0.500  0.000  0.625
Pt  0.500  0.500  0.749
Pt  0.000  0.500  0.126
Pt  0.500  0.500  0.000
Pt  0.000  0.500  0.874
Pt  0.500  0.500  0.500
Pt  0.000  0.500  0.625
Pt  0.500  0.500  0.251
Pt  0.500  0.000  0.874
Pt  0.000  0.500  0.375
Tb  0.000  0.000  0.000


No. 7
A plane-wave DFT calculation with PBE was carried out for a geometry-optimized RbMg6W structure.

Output
DFT formation energy ... 0.53 eV per atom
Energy ... -2.4095 eV per atom
ΔE to the lowest computed polymorph ... 36 meV/atom

abc: 6.448 6.448 5.114
angles: 90.00 90.00 120.00
Atoms (fractional coordinates):
Mg  0.824  0.176  0.000
Mg  0.824  0.647  0.000
Mg  0.482  0.964  0.500
Mg  0.482  0.518  0.500
Mg  0.036  0.518  0.500
Mg  0.353  0.176  0.000
Rb  0.000  0.000  0.500
W  0.333  0.667  0.000


No. 8
A plane-wave DFT calculation with PBE was carried out for a geometry-optimized TbY6Th structure.

Output
DFT formation energy ... 0.22 eV per atom
Energy ... -6.1314 eV per atom
ΔE to the lowest computed polymorph ... 187 meV/atom

abc: 6.791 6.571 6.893
angles: 82.53 59.72 90.72
Atoms (fractional coordinates):
Y  0.423  0.264  0.494
Y  0.553  0.750  0.989
Y  0.092  0.764  0.481
Y  0.447  0.250  0.011
Y  0.908  0.236  0.519
Y  0.577  0.736  0.506
Th  0.000  0.500  0.000
Tb  0.000  0.000  0.000


No. 9
A plane-wave DFT calculation with PBE was carried out for a geometry-optimized K2CePdS4 structure.

Output
Formation energy without anion corrections ... -9.37 eV/f.u.
Energy ... -4.8997 eV per atom

abc: 7.772 7.772 8.350
angles: 110.81 110.81 89.57
Atoms (fractional coordinates):
Ce  0.000  0.500  0.000
Ce  0.000  0.500  0.500
K  0.500  0.000  0.000
K  0.500  0.000  0.500
K  0.000  0.000  0.500
K  0.500  0.500  0.000
Pd  0.500  0.500  0.500
Pd  0.000  0.000  0.000
S  0.149  0.736  0.883
S  0.303  0.334  0.577
S  0.834  0.803  0.077
S  0.851  0.264  0.117
S  0.697  0.666  0.423
S  0.764  0.351  0.617
S  0.166  0.197  0.923
S  0.236  0.649  0.383


No. 10
A plane-wave DFT calculation with PBE was carried out for a geometry-optimized PmErTm structure.

Output
DFT formation energy ... 0.07 eV per atom
Energy ... -4.5210 eV per atom
ΔE to the lowest computed polymorph ... 49 meV/atom

abc: 3.480 5.594 5.594
angles: 120.00 90.00 90.00
Atoms (fractional coordinates):
Er  0.666  0.667  0.333
Tm  0.168  0.333  0.667
Pm  0.165  0.000  0.000


No. 11
A plane-wave DFT calculation with PBE was carried out for a geometry-optimized MgMo2Rh9 structure.

Output
DFT formation energy ... -0.12 eV per atom
Energy ... -7.5763 eV per atom

abc: 6.737 4.746 8.317
angles: 54.29 56.74 61.32
Atoms (fractional coordinates):
Rh  0.492  0.170  0.173
Rh  0.508  0.830  0.827
Rh  0.252  0.744  0.256
Rh  0.995  0.339  0.333
Rh  0.254  0.431  0.912
Rh  0.748  0.256  0.744
Rh  0.005  0.661  0.667
Rh  0.746  0.569  0.088
Rh  0.500  0.500  0.500
Mo  0.754  0.908  0.430
Mo  0.246  0.092  0.570
Mg  0.000  0.000  0.000


No. 12
A plane-wave DFT calculation with PBE was carried out for a geometry-optimized Ga2Hg2P structure.

Output
DFT formation energy ... 0.10 eV per atom
Energy ... -2.3088 eV per atom
ΔE to the lowest computed polymorph ... 0 meV/atom

abc: 6.373 6.373 5.877
angles: 90.00 90.00 90.00
Atoms (fractional coordinates):
P  0.000  0.000  0.000
P  0.500  0.500  0.000
Ga  0.143  0.357  0.000
Ga  0.643  0.143  0.000
Ga  0.357  0.857  0.000
Ga  0.857  0.643  0.000
Hg  0.310  0.810  0.500
Hg  0.810  0.690  0.500
Hg  0.690  0.190  0.500
Hg  0.190  0.310  0.500


No. 13
A plane-wave DFT calculation with PBE was carried out for a geometry-optimized PbW structure.

Output
DFT formation energy ... 2.48 eV per atom
Energy ... -5.8501 eV per atom
ΔE to the lowest computed polymorph ... 1986 meV/atom

abc: 7.809 7.809 7.809
angles: 90.00 90.00 90.00
Atoms (fractional coordinates):
W  0.500  0.750  0.000
W  0.500  0.250  0.000
W  0.000  0.500  0.750
W  0.250  0.000  0.500
W  0.750  0.000  0.500
W  0.000  0.500  0.250
Pb  0.500  0.000  0.250
Pb  0.000  0.250  0.500
Pb  0.000  0.750  0.500
Pb  0.750  0.500  0.000
Pb  0.250  0.500  0.000
Pb  0.500  0.000  0.750


No. 14
A plane-wave DFT calculation with PBE was carried out for a geometry-optimized HfGa2Co2 structure.

Output
DFT formation energy ... -0.28 eV per atom
Energy ... -6.3210 eV per atom
ΔE to the lowest computed polymorph ... 25 meV/atom

abc: 7.162 7.162 2.732
angles: 90.00 90.00 90.00
Atoms (fractional coordinates):
Hf  0.500  0.500  0.000
Hf  0.000  0.000  0.000
Ga  0.374  0.874  0.000
Ga  0.874  0.626  0.000
Ga  0.626  0.126  0.000
Ga  0.126  0.374  0.000
Co  0.673  0.827  0.500
Co  0.327  0.173  0.500
Co  0.173  0.673  0.500
Co  0.827  0.327  0.500


No. 15
A plane-wave DFT calculation with PBE was carried out for a geometry-optimized Li2TbCl4 structure.

Output
Formation energy without anion corrections ... -12.02 eV/f.u.
Energy ... -3.9799 eV per atom

abc: 6.569 6.569 6.569
angles: 104.23 104.23 120.55
Atoms (fractional coordinates):
Tb  0.500  0.500  0.000
Cl  0.612  0.810  0.423
Cl  0.190  0.612  0.802
Cl  0.388  0.190  0.577
Cl  0.810  0.388  0.198
Li  0.250  0.750  0.500
Li  0.750  0.250  0.500


No. 16
A plane-wave DFT calculation with PBE was carried out for a geometry-optimized IrRu2Pb structure.

Output
DFT formation energy ... 0.44 eV per atom
Energy ... -7.3382 eV per atom

abc: 4.862 4.862 4.892
angles: 81.00 81.00 35.17
Atoms (fractional coordinates):
Ru  0.990  0.990  0.031
Ru  0.252  0.252  0.245
Ir  0.509  0.509  0.473
Pb  0.749  0.749  0.751


No. 17
A plane-wave DFT calculation with PBE was carried out for a geometry-optimized TlAg structure.

Output
DFT formation energy ... 0.09 eV per atom
Energy ... -2.5194 eV per atom

abc: 3.365 3.745 7.671
angles: 90.00 90.00 90.00
Atoms (fractional coordinates):
Tl  0.500  0.500  0.209
Tl  0.000  0.000  0.541
Ag  0.500  0.500  0.785
Ag  0.000  0.000  0.965


No. 18
A plane-wave DFT calculation with PBE was carried out for a geometry-optimized Li2EuAg structure.

Output
DFT formation energy ... -0.05 eV per atom
Energy ... -4.2853 eV per atom
ΔE to the lowest computed polymorph ... 0 meV/atom

abc: 3.511 3.511 7.410
angles: 90.00 90.00 90.00
Atoms (fractional coordinates):
Li  0.000  0.000  0.177
Li  0.000  0.000  0.823
Ag  0.500  0.500  0.000
Eu  0.500  0.500  0.500


No. 19
A plane-wave DFT calculation with PBE was carried out for a geometry-optimized Li3Ga3Ag structure.

Output
DFT formation energy ... -0.18 eV per atom
Energy ... -2.7094 eV per atom

abc: 5.523 5.523 9.057
angles: 90.01 90.01 116.88
Atoms (fractional coordinates):
Ga  0.000  0.500  0.251
Ga  0.500  0.000  0.251
Ga  0.000  0.500  0.749
Ga  0.500  0.000  0.749
Ga  0.000  0.000  0.745
Ga  0.000  0.000  0.255
Li  0.246  0.754  0.000
Li  0.500  0.500  0.706
Li  0.500  0.500  0.294
Li  0.829  0.171  0.500
Li  0.754  0.246  0.000
Li  0.171  0.829  0.500
Ag  0.745  0.745  0.000
Ag  0.255  0.255  0.000


No. 20
A plane-wave DFT calculation with PBE was carried out for a geometry-optimized BaAs2PbO6 structure.

Output
Formation energy without anion corrections ... -15.32 eV/f.u.
Energy ... -5.9999 eV per atom

abc: 7.461 7.461 6.755
angles: 102.46 102.46 90.42
Atoms (fractional coordinates):
O  0.269  0.488  0.354
O  0.183  0.141  0.054
O  0.731  0.512  0.646
O  0.904  0.376  0.161
O  0.376  0.904  0.661
O  0.624  0.096  0.339
O  0.096  0.624  0.839
O  0.859  0.817  0.446
O  0.817  0.859  0.946
O  0.512  0.731  0.146
O  0.141  0.183  0.554
O  0.488  0.269  0.854
As  0.705  0.885  0.229
As  0.295  0.115  0.771
As  0.115  0.295  0.271
As  0.885  0.705  0.729
Pb  0.398  0.602  0.750
Pb  0.602  0.398  0.250
Ba  0.819  0.181  0.750
Ba  0.181  0.819  0.250


No. 21
A plane-wave DFT calculation with PBE was carried out for a geometry-optimized SmTeS structure.

Output
Formation energy without anion corrections ... -3.73 eV/f.u.
Energy ... -5.2396 eV per atom
ΔE to the lowest computed polymorph ... 241 meV/atom

abc: 3.918 8.016 10.668
angles: 90.00 90.00 90.00
Atoms (fractional coordinates):
S  0.750  0.379  0.598
S  0.750  0.879  0.902
S  0.250  0.621  0.402
S  0.250  0.121  0.098
Te  0.250  0.065  0.386
Te  0.250  0.565  0.114
Te  0.750  0.435  0.886
Te  0.750  0.935  0.614
Sm  0.750  0.903  0.164
Sm  0.750  0.403  0.336
Sm  0.250  0.597  0.664
Sm  0.250  0.097  0.836


No. 22
A plane-wave DFT calculation with PBE was carried out for a geometry-optimized Cd8Hg2Bi structure.

Output
DFT formation energy ... 0.05 eV per atom
Energy ... -1.0242 eV per atom
ΔE to the lowest computed polymorph ... 0 meV/atom

abc: 5.643 5.976 8.733
angles: 108.42 99.72 90.44
Atoms (fractional coordinates):
Cd  0.239  0.475  0.943
Cd  0.814  0.626  0.739
Cd  0.752  0.191  0.378
Cd  0.186  0.374  0.261
Cd  0.761  0.525  0.057
Cd  0.248  0.809  0.622
Cd  0.815  0.116  0.733
Cd  0.185  0.884  0.267
Hg  0.678  0.701  0.402
Hg  0.322  0.299  0.598
Bi  0.500  0.000  0.000


No. 23
A plane-wave DFT calculation with PBE was carried out for a geometry-optimized CaPSe structure.

Output
Formation energy without anion corrections ... -3.05 eV/f.u.
Energy ... -4.6482 eV per atom

abc: 5.073 5.724 5.821
angles: 86.89 67.43 71.60
Atoms (fractional coordinates):
Ca  0.216  0.056  0.422
Ca  0.390  0.503  0.849
Se  0.653  0.943  0.697
Se  0.385  0.516  0.344
P  0.884  0.276  0.065
P  0.824  0.927  0.031